1.
TlAg2Hg2: optimized geometry, PBE.

a = 4.327 Å, b = 4.327 Å, c = 13.395 Å
α = 90.00°, β = 90.00°, γ = 90.00°
Space group I4/mmm (No. 139)
Symmetry-distinct sites (fractional):
Tl 0.000 0.000 0.000 x2
Ag 0.000 0.000 0.399 x4
Hg 0.000 0.500 0.250 x4

***

2.
Tl12AgHg6: optimized geometry, PBE.

a = 11.5360 Å, b = 11.5360 Å, c = 14.3756 Å
α = 90.00°, β = 90.00°, γ = 120.00°
Space group R-3 (No. 148, hexagonal axes)
Symmetry-distinct sites (fractional):
Tl 0.0386 0.1850 0.3125 x18
Tl 0.0657 0.8487 0.9123 x18
Ag 0.0000 0.0000 0.5000 x3
Hg 0.0377 0.4460 0.2058 x18

***

3.
TlAg4Hg: optimized geometry, PBE.

a = 8.007 Å, b = 8.007 Å, c = 8.007 Å
α = 90.00°, β = 90.00°, γ = 90.00°
Space group F-43m (No. 216)
Symmetry-distinct sites (fractional):
Tl 0.000 0.000 0.000 x4
Ag 0.125 0.125 0.375 x16
Hg 0.250 0.250 0.750 x4

***

Summary of energy of formation from the pure elements in eV per atom
0.117; 0.031; 0.090
(order as listed above)